## Ca2MnTcO6 (PBE with a Hubbard U)

Data for a geometry-optimized Ca2MnTcO6 structure.

## Properties
The total moment is 2.8 Bohr magnetons per cell. Its total energy is -71.9 eV/f.u. The calculation puts the density at 4.43 g cm⁻³.

Unit cell a=5.6148 b=5.6148 c=3.9129 alpha=90.00 beta=90.00 gamma=90.00
Closest atoms and distances in Å follow each position.
Space group P4mm (No. 99)
One atom of each set of equivalent atoms:
Ca 0.0000 0.5000 0.0000 [2 per cell]  4 O 2.50
Mn 0.0000 0.0000 0.5708 [1 per cell]  6 O 1.91-2.05
Tc 0.5000 0.5000 0.5694 [1 per cell]  6 O 1.89-2.03
O 0.0000 0.0000 0.0836 [1 per cell]  2 Mn 1.91-2.01
O 0.2569 0.2569 0.6115 [4 per cell]  1 Tc 1.94, 1 Mn 2.05
O 0.5000 0.5000 0.0874 [1 per cell]  2 Tc 1.89-2.03